DFT (SCAN) results for LiCu5 at its PBEsol-relaxed geometry.

Geometry as POSCAR:
```
LiCu5
1.0
-3.1677 2.2331 -1.0441
-2.4883 -1.8260 3.6438
2.5884 3.9639 0.6249
Cu Li
5 1
Direct
0.5000 0.0000 0.5000 Cu
0.0000 0.6667 0.3333 Cu
0.0000 0.3333 0.6667 Cu
0.5000 0.5000 0.0000 Cu
0.5000 0.5000 0.5000 Cu
0.0000 0.0000 0.0000 Li
```

Computed properties:
- Energy of formation: 49 meV per atom
- Offset from the most stable computed form: 0.057 eV/atom
- Space-group type: P6/mmm
- Uncorrected energy: -78.094 eV for the cell shown
- Mass density: 6.802 g cm⁻³